The following is a PBE calculation of TbGdGaPt after structural relaxation, from the Alexandria database.

Lattice parameters (Å, degrees): 7.134 7.134 7.134 90.00 90.00 90.00
Space group F-43m (No. 216)
Inequivalent atoms, fractional coordinates:
Tb  0.000  0.000  0.000
Gd  0.000  0.000  0.500
Ga  0.250  0.250  0.250
Pt  0.250  0.250  0.750

Results
The value obtained for the density is 10.628 g/cm³. The calculation puts the formation energy at -0.841 eV per atom. The volume comes out at 363 Å³ per cell. Its energy is -7.786 eV per atom. The calculation puts the magnetization at 28.27 Bohr magnetons per cell. As for the density of states at the Fermi level: 0.751 states/eV/atom.


The following is a PBE calculation of GdThGaPt after structural relaxation, from the Alexandria database.

Lattice parameters (Å, degrees): 7.257 7.257 7.257 90.00 90.00 90.00
Space group F-43m (No. 216)
Inequivalent atoms, fractional coordinates:
Gd  0.000  0.000  0.000
Th  0.000  0.000  0.500
Ga  0.250  0.250  0.750
Pt  0.250  0.250  0.250

Results
The value obtained for the density is 11.369 g/cm³. The calculation puts the formation energy at -0.727 eV per atom. The volume comes out at 382 Å³ per cell. Its energy is -8.369 eV per atom. The calculation puts the magnetization at 29.83 Bohr magnetons per cell. As for the density of states at the Fermi level: 0.814 states/eV/atom.


The following is a PBE calculation of GdTmGaPt after structural relaxation, from the Alexandria database.

Lattice parameters (Å, degrees): 7.070 7.070 7.070 90.00 90.00 90.00
Space group F-43m (No. 216)
Inequivalent atoms, fractional coordinates:
Gd  0.000  0.000  0.000
Tm  0.000  0.000  0.500
Ga  0.250  0.250  0.250
Pt  0.250  0.250  0.750

Results
The value obtained for the density is 11.110 g/cm³. The calculation puts the formation energy at -0.865 eV per atom. The volume comes out at 353 Å³ per cell. Its energy is -7.770 eV per atom. The calculation puts the magnetization at 28.40 Bohr magnetons per cell. As for the density of states at the Fermi level: 0.816 states/eV/atom.


The following is a PBE calculation of GdYGaPt after structural relaxation, from the Alexandria database.

Lattice parameters (Å, degrees): 7.127 7.127 7.127 90.00 90.00 90.00
Space group F-43m (No. 216)
Inequivalent atoms, fractional coordinates:
Gd  0.000  0.000  0.000
Y  0.000  0.000  0.500
Ga  0.250  0.250  0.750
Pt  0.250  0.250  0.250

Results
The value obtained for the density is 9.375 g/cm³. The calculation puts the formation energy at -0.848 eV per atom. The volume comes out at 362 Å³ per cell. Its energy is -8.252 eV per atom. The calculation puts the magnetization at 28.36 Bohr magnetons per cell. As for the density of states at the Fermi level: 0.761 states/eV/atom.


The following is a PBE calculation of GdPuGa2 after structural relaxation, from the Alexandria database.

Lattice parameters (Å, degrees): 5.111 5.111 3.567 90.00 90.00 90.00
Space group P4/mmm (No. 123)
Inequivalent atoms, fractional coordinates:
Gd  0.000  0.000  0.000
Pu  0.500  0.500  0.000
Ga  0.000  0.500  0.500

Results
The value obtained for the density is 9.637 g/cm³. The calculation puts the formation energy at -0.412 eV per atom. The volume comes out at 93 Å³ per cell. Its energy is -9.028 eV per atom. The calculation puts the magnetization at 12.94 Bohr magnetons per cell. As for the density of states at the Fermi level: 2.090 states/eV/atom. The energy above the lowest structure with this stoichiometry is 3.8 meV per atom.


The following is a PBE calculation of GdPuGa after structural relaxation, from the Alexandria database.

Lattice parameters (Å, degrees): 3.678 3.678 11.258 90.00 90.00 90.00
Space group I4mm (No. 107)
Inequivalent atoms, fractional coordinates:
Gd  0.000  0.000  0.000
Pu  0.000  0.000  0.292
Ga  0.000  0.000  0.646

Results
The value obtained for the density is 10.272 g/cm³. The calculation puts the formation energy at -0.213 eV per atom. The volume comes out at 152 Å³ per cell. Its energy is -10.693 eV per atom. The calculation puts the magnetization at 1.54 Bohr magnetons per cell. As for the density of states at the Fermi level: 2.311 states/eV/atom.


The following is a PBE calculation of GdPuGa4 after structural relaxation, from the Alexandria database.

Lattice parameters (Å, degrees): 7.844 7.844 7.844 90.00 90.00 90.00
Space group F-43m (No. 216)
Inequivalent atoms, fractional coordinates:
Gd  0.000  0.000  0.000
Pu  0.250  0.250  0.750
Ga  0.125  0.125  0.375

Results
The value obtained for the density is 9.360 g/cm³. The calculation puts the formation energy at -0.446 eV per atom. The volume comes out at 483 Å³ per cell. Its energy is -7.199 eV per atom. The calculation puts the magnetization at 52.66 Bohr magnetons per cell. As for the density of states at the Fermi level: 2.730 states/eV/atom.


The following is a PBE calculation of GdPuGa2 after structural relaxation, from the Alexandria database.

Lattice parameters (Å, degrees): 7.196 7.196 7.196 90.00 90.00 90.00
Space group Fm-3m (No. 225)
Inequivalent atoms, fractional coordinates:
Gd  0.000  0.000  0.000
Pu  0.000  0.000  0.500
Ga  0.250  0.250  0.250

Results
The value obtained for the density is 9.637 g/cm³. The calculation puts the formation energy at -0.415 eV per atom. The volume comes out at 373 Å³ per cell. Its energy is -9.032 eV per atom. The calculation puts the magnetization at 51.58 Bohr magnetons per cell. As for the density of states at the Fermi level: 1.946 states/eV/atom. The energy above the lowest structure with this stoichiometry is 0.0 meV per atom.